YZrCd2Rh | GGA-PBE | relaxed

abc: 5.4268 5.4268 4.7215
angles: 90.00 90.00 90.00
With the nearest neighbours (Å) after each atom.
Space group P4/mmm (No. 123)
One atom of each set of equivalent atoms:
Y 0.0000 0.0000 0.0000 [1 per cell]  8 Cd 3.60, 4 Rh 3.84
Zr 0.5000 0.5000 0.5000 [1 per cell]  2 Rh 2.36
Cd 0.0000 0.5000 0.5000 [2 per cell]  2 Zr 2.71
Rh 0.5000 0.5000 0.0000 [1 per cell]  2 Zr 2.36

Calculated total energy in eV per formula unit: -22.0
Magnetic moment in μB/f.u.: 0.00
ΔH_f (0 K) in eV per atom: 0.435